Here is an optimized crystal structure of Na3Tm2NiO6 from Alexandria via LeMat-Bulk. Energies are from PBE+U.

```
Na3Tm2NiO6
1.0
5.627 -0.007 0.009
-2.818 4.871 0.009
-0.927 -1.606 5.518
Tm Ni Na O
2 1 3 6
Direct
0.332 0.668 0.000
0.668 0.332 0.000
0.000 0.000 0.000
0.842 0.158 0.500
0.158 0.842 0.500
0.500 0.500 0.500
0.614 0.931 0.790
0.754 0.754 0.203
0.069 0.386 0.210
0.386 0.069 0.210
0.246 0.246 0.797
0.931 0.614 0.790
```

Results
DOS(E_F)   0.0 states/eV/f.u.
SG   No. 12
Final energy   -5.968 eV/atom
M_tot   3.1 μB per cell